1.
Computed, not measured: a geometry-optimized Li2NpNi3O6 structure at the PBE+U level of DFT.

The structure in CIF format:
```
data_Li2NpNi3O6
_cell_length_a 5.311
_cell_length_b 9.229
_cell_length_c 5.293
_cell_angle_alpha 90.00
_cell_angle_beta 109.10
_cell_angle_gamma 90.00
_space_group_name_H-M_alt 'C 1 2/m 1'
_space_group_IT_number 12
loop_
_space_group_symop_operation_xyz
'x,y,z'
'-x,-y,-z'
'-x,y,-z'
'x,-y,z'
'x+1/2,y+1/2,z'
'-x+1/2,-y+1/2,-z'
'-x+1/2,y+1/2,-z'
'x+1/2,-y+1/2,z'
loop_
_atom_site_label
_atom_site_fract_x
_atom_site_fract_y
_atom_site_fract_z
Li1 0.000 0.167 0.000
Np1 0.000 0.500 0.000
Ni1 0.000 0.000 0.500
Ni2 0.000 0.328 0.500
O1 0.244 0.167 0.737
O2 0.245 0.500 0.735
```

2.
Computed, not measured: a geometry-optimized LiNpNiO4 structure at the PBE+U level of DFT.

The structure in CIF format:
```
data_LiNpNiO4
_cell_length_a 6.119
_cell_length_b 6.898
_cell_length_c 8.375
_cell_angle_alpha 90.00
_cell_angle_beta 90.00
_cell_angle_gamma 90.00
_space_group_name_H-M_alt 'I m m a'
_space_group_IT_number 74
_space_group_name_Hall '-I 2b 2'
loop_
_atom_site_label
_atom_site_fract_x
_atom_site_fract_y
_atom_site_fract_z
Li1 0.000 0.250 0.125
Np1 0.000 0.000 0.500
Ni1 0.250 0.250 0.750
O1 0.000 0.034 0.742
O2 0.227 0.250 0.499
```

| no. | VASP energy (eV per cell) |
| --- | --- |
| 1 | -150.5 |
| 2 | -210.7 |